# 1
# SiBiO2

SiBiO2 after structural relaxation (GGA-PBE, Alexandria).

POSCAR file:
```
SiBiO2
1.0
-0.119 -7.902 4.101
-0.664 -8.772 1.372
2.086 -8.359 2.248
Si Bi O
1 1 2
direct
0.500 0.500 0.500
0.000 0.000 0.000
0.866 0.866 0.866
0.134 0.134 0.134
```

Computed properties:
space group = R-3m (166)
energy relative to the elements, uncorrected = -1345 meV per atom
mass density = 6942 kg/m3

***

# 2
# BaCrNi2

BaCrNi2 after structural relaxation (GGA-PBE, Alexandria).

POSCAR file:
```
BaCrNi2
1.0
4.739 0.000 0.000
2.369 4.104 0.000
2.369 1.368 3.869
Ba Cr Ni
1 1 2
direct
0.500 0.500 0.500
0.750 0.750 0.750
0.000 0.000 0.000
0.250 0.250 0.250
```

Computed properties:
space group = F-43m (216)
mass density = 6770 kg/m3
calculated formation energy = 3.464 eV/f.u.

***

# 3
# ScPaTe2

ScPaTe2 after structural relaxation (GGA-PBE, Alexandria).

POSCAR file:
```
ScPaTe2
1.0
4.023 0.000 0.000
2.011 3.484 0.000
2.011 1.161 7.750
Sc Pa Te
1 1 2
direct
0.669 0.669 0.994
0.499 0.499 0.504
0.076 0.076 0.772
0.257 0.257 0.230
```

Computed properties:
space group = R3m (160)
energy relative to the elements, uncorrected = -850 meV per atom
mass density = 8122 kg/m3

***

# 4
# YSi3NiOs

YSi3NiOs after structural relaxation (GGA-PBE, Alexandria).

POSCAR file:
```
YSi3NiOs
1.0
5.503 0.000 0.000
0.000 6.172 0.000
0.000 -3.086 6.388
Y Si Ni Os
2 6 2 2
direct
0.750 0.276 0.552
0.250 0.724 0.448
0.250 0.221 0.443
0.000 0.305 0.000
0.500 0.695 0.000
0.500 0.305 0.000
0.000 0.695 0.000
0.750 0.779 0.557
0.250 0.388 0.776
0.750 0.612 0.224
0.250 0.047 0.093
0.750 0.953 0.907
```

Computed properties:
space group = Cmcm (63)
energy relative to the elements, uncorrected = -335 meV per atom
mass density = 6460 kg/m3

***

# 5
# TaIn2Os

TaIn2Os after structural relaxation (GGA-PBE, Alexandria).

POSCAR file:
```
TaIn2Os
1.0
-4.778 -1.993 0.923
-3.938 -2.783 -2.096
0.781 -4.742 1.458
In Os Ta
2 1 1
direct
0.988 0.988 0.018
0.765 0.765 0.730
0.525 0.525 0.483
0.221 0.221 0.269
```

Computed properties:
space group = Cm (8)
mass density = 12800 kg/m3
calculated formation energy = 1.234 eV/f.u.

***

# 6
# Zr2Tl2Mo

Zr2Tl2Mo after structural relaxation (GGA-PBE, Alexandria).

POSCAR file:
```
Zr2Tl2Mo
1.0
-1.935 1.935 8.149
1.935 -1.935 8.149
1.935 1.935 -8.149
Zr Tl Mo
2 2 1
direct
0.588 0.588 0.000
0.412 0.412 0.000
0.250 0.750 0.500
0.750 0.250 0.500
0.000 0.000 0.000
```

Computed properties:
space group = I4/mmm (139)
mass density = 9348 kg/m3
calculated formation energy = 3.459 eV/f.u.

***

# 7
# Tb12Dy2Th

Tb12Dy2Th after structural relaxation (GGA-PBE, Alexandria).

POSCAR file:
```
Tb12Dy2Th
1.0
6.500 -1.543 0.000
-1.543 6.500 0.000
0.000 0.000 24.682
Tb Dy Th
24 4 2
direct
0.500 0.500 0.800
0.000 0.000 0.800
0.751 0.749 0.924
0.251 0.751 0.873
0.000 0.000 0.326
0.249 0.749 0.127
0.761 0.261 0.587
0.500 0.500 0.326
0.249 0.251 0.924
0.749 0.751 0.076
0.264 0.236 0.562
0.739 0.239 0.413
0.000 0.000 0.674
0.236 0.264 0.438
0.251 0.249 0.076
0.764 0.736 0.438
0.736 0.764 0.562
0.000 0.000 0.200
0.239 0.739 0.587
0.500 0.500 0.674
0.749 0.249 0.873
0.500 0.500 0.200
0.261 0.761 0.413
0.751 0.251 0.127
0.500 0.000 0.266
0.000 0.500 0.270
0.000 0.500 0.734
0.500 0.000 0.730
0.500 0.000 0.000
0.000 0.500 0.000
```

Computed properties:
space group = Cmme (67)
mass density = 8316 kg/m3
calculated formation energy = 2.678 eV/f.u.

***

# 8
# ZrHOF

ZrHOF after structural relaxation (GGA-PBE, Alexandria).

POSCAR file:
```
ZrHOF
1.0
3.182 0.000 -0.101
0.000 3.045 0.000
-1.466 0.000 4.019
Zr H O F
1 1 1 1
direct
0.106 0.000 0.642
0.247 0.500 0.925
0.538 0.500 0.507
0.818 0.000 0.066
```

Computed properties:
space group = Amm2 (38)
mass density = 5490 kg/m3
uncorrected energy = -27.70 eV per cell

***

# 9
# Tm6Cd6In

Tm6Cd6In after structural relaxation (GGA-PBE, Alexandria).

POSCAR file:
```
Tm6Cd6In
1.0
6.040 -0.001 0.000
-3.020 5.230 0.000
0.000 0.000 10.843
Tm Cd In
6 6 1
direct
0.000 0.000 0.656
0.000 0.000 0.344
0.334 0.666 0.000
0.666 0.334 0.000
0.333 0.667 0.500
0.667 0.333 0.500
0.000 0.500 0.753
0.500 0.000 0.753
0.500 0.500 0.753
0.500 0.000 0.247
0.000 0.500 0.247
0.500 0.500 0.247
0.000 0.000 0.000
```

Computed properties:
space group = P6/mmm (191)
mass density = 8742 kg/m3
calculated formation energy = -1.790 eV/f.u.

***

# 10
# Fe2WSe

Fe2WSe after structural relaxation (GGA-PBE, Alexandria).

POSCAR file:
```
Fe2WSe
1.0
4.271 0.000 0.000
2.136 3.699 0.000
2.136 1.233 3.487
Fe Se W
2 1 1
direct
0.000 0.000 0.000
0.250 0.250 0.250
0.500 0.500 0.500
0.750 0.750 0.750
```

Computed properties:
space group = F-43m (216)
energy relative to the elements, uncorrected = 445 meV per atom
mass density = 11286 kg/m3

***

# 11
# Sr2Cu2Au

Sr2Cu2Au after structural relaxation (GGA-PBE, Alexandria).

POSCAR file:
```
Sr2Cu2Au
1.0
-4.008 -1.558 -1.250
-0.081 -6.085 -0.179
-4.848 -1.457 9.337
Sr Cu Au
4 4 2
direct
0.695 0.249 0.360
0.908 0.293 0.891
0.305 0.751 0.640
0.092 0.707 0.109
0.043 0.335 0.579
0.606 0.892 0.897
0.957 0.665 0.421
0.394 0.108 0.103
0.578 0.163 0.680
0.422 0.837 0.320
```

Computed properties:
space group = C2/m (12)
mass density = 6306 kg/m3
calculated formation energy = -1.609 eV/f.u.

***

# 12
# Y2SeBr

Y2SeBr after structural relaxation (GGA-PBE, Alexandria).

POSCAR file:
```
Y2SeBr
1.0
-2.853 -2.449 0.458
2.841 -2.303 5.379
-2.159 2.966 2.410
Br Se Y
1 1 2
direct
0.500 0.000 0.500
0.000 0.500 0.500
0.000 0.000 0.000
0.500 0.500 0.000
```

Computed properties:
space group = Pmmm (47)
energy relative to the elements, uncorrected = -1101 meV per atom
mass density = 5169 kg/m3

***

# 13
# YCoMo2

YCoMo2 after structural relaxation (GGA-PBE, Alexandria).

POSCAR file:
```
YCoMo2
1.0
-1.304 0.816 -2.388
1.136 -2.223 -1.356
-6.694 -4.676 2.057
Co Mo Y
1 2 1
direct
0.500 0.500 0.750
0.000 0.000 0.950
0.000 0.000 0.550
0.500 0.500 0.250
```

Computed properties:
space group = Cmmm (65)
mass density = 8298 kg/m3
calculated formation energy = 1.639 eV/f.u.

***

# 14
# Mg2ZnCu

Mg2ZnCu after structural relaxation (GGA-PBE, Alexandria).

POSCAR file:
```
Mg2ZnCu
1.0
9.459 0.078 0.046
8.972 2.995 0.046
8.972 1.496 2.595
Cu Mg Zn
1 2 1
direct
0.246 0.246 0.246
0.990 0.990 0.990
0.755 0.755 0.755
0.509 0.509 0.509
```

Computed properties:
space group = R3m (160)
mass density = 4185 kg/m3
calculated formation energy = 0.302 eV/f.u.

***

# 15
# Cs2SnHg

Cs2SnHg after structural relaxation (GGA-PBE, Alexandria).

POSCAR file:
```
Cs2SnHg
1.0
7.332 0.000 0.000
0.000 7.093 -2.170
0.000 -0.256 7.414
Cs Sn Hg
4 2 2
direct
0.750 0.990 0.327
0.250 0.010 0.673
0.250 0.673 0.010
0.750 0.327 0.990
0.250 0.252 0.252
0.750 0.748 0.748
0.500 0.500 0.500
0.000 0.500 0.500
```

Computed properties:
space group = Cmcm (63)
mass density = 5094 kg/m3
calculated formation energy = -1.077 eV/f.u.

***

# 16
# CuBO3

CuBO3 after structural relaxation (GGA-PBE, Alexandria).

POSCAR file:
```
CuBO3
1.0
-0.106 1.207 -3.133
1.538 -2.769 -1.119
-2.984 -1.470 -0.466
Cu B O
1 1 3
direct
0.000 0.000 0.000
0.500 0.500 0.500
0.500 0.500 0.000
0.500 0.000 0.500
0.000 0.500 0.500
```

Computed properties:
space group = Pm-3m (221)
energy relative to the elements, uncorrected = -277 meV per atom
mass density = 5361 kg/m3

***

# 17
# MgMnIr

MgMnIr after structural relaxation (GGA-PBE, Alexandria).

POSCAR file:
```
MgMnIr
1.0
-2.713 0.337 -0.188
-3.322 -2.626 3.289
0.640 6.673 2.736
Mg Mn Ir
2 2 2
direct
0.413 0.559 0.899
0.034 0.938 0.658
0.441 0.530 0.279
0.005 0.967 0.279
0.094 0.377 0.536
0.352 0.120 0.021
```

Computed properties:
space group = P2/m (10)
mass density = 10402 kg/m3
calculated formation energy = -0.201 eV/f.u.

***

# 18
# CsVCu2S4

CsVCu2S4 after structural relaxation (GGA-PBE, Alexandria).

POSCAR file:
```
CsVCu2S4
1.0
6.255 1.213 0.000
-1.065 6.281 0.000
-2.595 -3.747 4.451
Cs V Cu S
1 1 2 4
direct
0.500 0.500 0.000
0.000 0.000 0.000
0.750 0.250 0.500
0.250 0.750 0.500
0.656 0.656 0.628
0.972 0.344 0.000
0.344 0.972 0.000
0.028 0.028 0.372
```

Computed properties:
space group = I-42m (121)
energy relative to the elements, uncorrected = -561 meV per atom
mass density = 4038 kg/m3

***

# 19
# Ac3Bi4Rh4

Ac3Bi4Rh4 after structural relaxation (GGA-PBE, Alexandria).

POSCAR file:
```
Ac3Bi4Rh4
1.0
-1.349 -4.589 -0.671
2.531 -1.263 3.548
-11.183 4.835 6.796
Ac Bi Rh
3 4 4
direct
0.347 0.847 0.694
0.653 0.153 0.306
0.000 0.000 0.000
0.803 0.303 0.607
0.443 0.443 0.887
0.557 0.557 0.113
0.197 0.697 0.393
0.252 0.252 0.504
0.097 0.597 0.194
0.903 0.403 0.806
0.748 0.748 0.496
```

Computed properties:
space group = Immm (71)
mass density = 10782 kg/m3
calculated formation energy = -6.382 eV/f.u.

***

# 20
# Co3Te

Co3Te after structural relaxation (GGA-PBE, Alexandria).

POSCAR file:
```
Co3Te
1.0
-1.996 0.695 3.803
-2.685 -0.317 -1.351
0.127 -4.280 0.849
Co Te
3 1
direct
0.000 0.032 0.963
0.500 0.750 0.750
0.000 0.468 0.537
0.500 0.250 0.250
```

Computed properties:
space group = P2/m (10)
energy relative to the elements, uncorrected = 461 meV per atom
mass density = 8806 kg/m3

***

# 21
# La4Sm3Se8

La4Sm3Se8 after structural relaxation (GGA-PBE, Alexandria).

POSCAR file:
```
La4Sm3Se8
1.0
3.494 5.432 5.228
3.613 -2.689 6.982
9.183 0.192 0.266
La Sm Se
4 3 8
direct
0.000 0.000 0.000
0.353 0.353 0.942
0.500 0.500 0.500
0.647 0.647 0.058
0.500 0.000 0.500
0.000 0.000 0.500
0.000 0.500 0.500
0.232 0.232 0.305
0.238 0.750 0.261
0.750 0.750 0.261
0.750 0.238 0.261
0.768 0.768 0.695
0.762 0.250 0.739
0.250 0.250 0.739
0.250 0.762 0.739
```

Computed properties:
space group = R-3m (166)
energy relative to the elements, uncorrected = -1715 meV per atom
mass density = 5806 kg/m3

***

# 22
# CsCeTeI2

CsCeTeI2 after structural relaxation (GGA-PBE, Alexandria).

POSCAR file:
```
CsCeTeI2
1.0
-3.086 -3.408 0.200
9.104 -4.891 4.185
-2.441 2.708 8.474
Cs Ce Te I
2 2 2 4
direct
0.707 0.413 0.750
0.293 0.587 0.250
0.000 0.000 0.000
0.000 0.000 0.500
0.508 0.016 0.750
0.492 0.984 0.250
0.142 0.284 0.028
0.858 0.716 0.972
0.142 0.284 0.472
0.858 0.716 0.528
```

Computed properties:
space group = Cmcm (63)
energy relative to the elements, uncorrected = -1365 meV per atom
mass density = 4692 kg/m3

***

# 23
# PuGa4Ag

PuGa4Ag after structural relaxation (GGA-PBE, Alexandria).

POSCAR file:
```
PuGa4Ag
1.0
5.498 0.000 0.000
2.749 4.762 0.000
2.749 1.587 4.489
Ga Ag Pu
4 1 1
direct
0.625 0.625 0.126
0.625 0.126 0.625
0.625 0.625 0.625
0.126 0.625 0.625
0.000 0.000 0.000
0.250 0.250 0.250
```

Computed properties:
space group = F-43m (216)
mass density = 8911 kg/m3
calculated formation energy = -0.588 eV/f.u.

***

# 24
# ZnRe2Ir

ZnRe2Ir after structural relaxation (GGA-PBE, Alexandria).

POSCAR file:
```
ZnRe2Ir
1.0
4.844 0.000 -0.014
4.056 2.648 -0.014
0.755 0.225 4.577
Ir Re Zn
1 2 1
direct
0.250 0.250 0.250
0.992 0.992 0.003
0.508 0.508 0.497
0.750 0.750 0.750
```

Computed properties:
space group = C2/m (12)
mass density = 17811 kg/m3
calculated formation energy = 0.270 eV/f.u.

***

# 25
# PuZnPt

PuZnPt after structural relaxation (GGA-PBE, Alexandria).

POSCAR file:
```
PuZnPt
1.0
-1.971 0.095 -4.181
-1.097 -3.955 -2.129
-4.436 -1.207 -0.492
Zn Pt Pu
1 1 1
direct
0.500 0.500 0.500
0.250 0.250 0.250
0.000 0.000 0.000
```

Computed properties:
space group = F-43m (216)
mass density = 11986 kg/m3
calculated formation energy = -1.369 eV/f.u.